A plane-wave DFT calculation with PBE was carried out for a geometry-optimized KNi2Ag structure.

ΔH_f (0 K), kJ/mol of formula units: 203
DFT total energy, Ha/atom: -0.1232
DOS(E_F), states/eV/atom: 1.372
Excess energy over the best structure of this formula in the dataset, eV/atom: 0.116

Cell: 9.288 2.800 6.372 Å, 90.00 97.26 90.00°
Space group C2/m (No. 12)
Inequivalent atoms, fractional coordinates:
K 0.000 0.000 0.000
Ni 0.234 0.000 0.642
Ag 0.000 0.500 0.500

---

A plane-wave DFT calculation with PBE was carried out for a geometry-optimized Li2SnPt structure.

ΔH_f (0 K), kJ/mol of formula units: -210
DFT total energy, Ha/atom: -0.1475
DOS(E_F), states/eV/atom: 0.355

Cell: 3.976 3.976 4.113 Å, 90.00 90.00 90.00°
Space group P4/mmm (No. 123)
Inequivalent atoms, fractional coordinates:
Li 0.000 0.500 0.000
Sn 0.000 0.000 0.500
Pt 0.500 0.500 0.500

---

A plane-wave DFT calculation with PBE was carried out for a geometry-optimized La2ZnRh structure.

ΔH_f (0 K), kJ/mol of formula units: -193
DFT total energy, Ha/atom: -0.1882
DOS(E_F), states/eV/atom: 0.704

Cell: 3.761 3.741 7.153 Å, 90.00 95.65 90.00°
Space group P2/m (No. 10)
Inequivalent atoms, fractional coordinates:
La 0.059 0.000 0.266
Zn 0.500 0.500 0.000
Rh 0.500 0.500 0.500